Entry 1:
Here is PRuSe after structural relaxation from Alexandria via LeMat-Bulk. Energies are from PBE.

Values from the calculation:
Space-group type: F-43m
Formation energy (no corrections): 0.50 eV per atom
Electronic total energy: -16.7 eV/cell

Cell and atoms, written as POSCAR:
```
PRuSe
1.0
0.000 2.928 2.928
2.928 0.000 2.928
2.928 2.928 0.000
P Ru Se
1 1 1
Direct
0.250 0.250 0.250
0.000 0.000 0.000
0.500 0.500 0.500
```

***

Entry 2:
Here is PRuSe after structural relaxation from Alexandria via LeMat-Bulk. Energies are from PBE.

Values from the calculation:
Space-group type: Pm
Formation energy (no corrections): -0.22 eV per atom
Electronic total energy: -37.6 eV/cell

Cell and atoms, written as POSCAR:
```
PRuSe
1.0
-1.041 -0.695 -5.093
-2.120 -2.775 0.812
-4.657 3.789 0.789
P Ru Se
2 2 2
Direct
0.160 0.000 0.524
0.010 0.500 0.961
0.888 0.500 0.581
0.937 0.000 0.192
0.616 0.500 0.234
0.568 0.000 0.715
```

***

Entry 3:
Here is PRu2Se after structural relaxation from Alexandria via LeMat-Bulk. Energies are from PBE.

Values from the calculation:
Space-group type: I-4m2
Formation energy (no corrections): 0.34 eV per atom
Electronic total energy: -26.1 eV/cell

Cell and atoms, written as POSCAR:
```
PRu2Se
1.0
-1.798 1.798 4.479
1.798 -1.798 4.479
1.798 1.798 -4.479
P Ru Se
1 2 1
Direct
0.750 0.250 0.500
0.000 0.000 0.000
0.250 0.750 0.500
0.500 0.500 0.000
```

***

Entry 4:
Here is PRu2Se after structural relaxation from Alexandria via LeMat-Bulk. Energies are from PBE.

Values from the calculation:
Space-group type: P4/mmm
Formation energy (no corrections): -0.05 eV per atom
Electronic total energy: -27.6 eV/cell

Cell and atoms, written as POSCAR:
```
PRu2Se
1.0
2.970 0.000 0.000
0.000 2.970 0.000
0.000 0.000 6.431
P Ru Se
1 2 1
Direct
0.500 0.500 0.000
0.000 0.000 0.213
0.000 0.000 0.787
0.500 0.500 0.500
```

***

Entry 5:
Here is PRu2Se after structural relaxation from Alexandria via LeMat-Bulk. Energies are from PBE.

Values from the calculation:
Space-group type: Pmm2
Formation energy (no corrections): -0.10 eV per atom
Electronic total energy: -27.8 eV/cell

Cell and atoms, written as POSCAR:
```
PRu2Se
1.0
-2.395 1.782 -0.330
-2.091 -2.470 1.843
1.200 2.480 4.685
P Ru Se
1 2 1
Direct
0.500 0.500 0.852
0.000 0.000 0.946
0.500 0.500 0.271
0.000 0.000 0.431
```

***

Entry 6:
Here is PRu2Se after structural relaxation from Alexandria via LeMat-Bulk. Energies are from PBE.

Values from the calculation:
Space-group type: Pm
Formation energy (no corrections): -0.25 eV per atom
Electronic total energy: -28.4 eV/cell

Cell and atoms, written as POSCAR:
```
PRu2Se
1.0
3.965 0.000 0.000
0.000 3.961 -0.061
0.000 0.294 5.605
P Ru Se
1 2 1
Direct
0.500 0.887 0.904
0.000 0.876 0.113
0.500 0.376 0.113
0.000 0.362 0.370
```

***

Entry 7:
Here is PRuSe after structural relaxation from Alexandria via LeMat-Bulk. Energies are from PBE.

Values from the calculation:
Space-group type: I4mm
Formation energy (no corrections): 0.01 eV per atom
Electronic total energy: -18.1 eV/cell

Cell and atoms, written as POSCAR:
```
PRuSe
1.0
0.878 -5.776 2.273
-2.381 -5.794 -0.251
1.986 5.346 -2.602
P Ru Se
1 1 1
Direct
0.960 0.960 0.000
0.348 0.348 0.000
0.692 0.692 0.000
```

***

Entry 8:
Here is PRu2Se after structural relaxation from Alexandria via LeMat-Bulk. Energies are from PBE.

Values from the calculation:
Space-group type: C2/m
Formation energy (no corrections): -0.04 eV per atom
Electronic total energy: -27.6 eV/cell

Cell and atoms, written as POSCAR:
```
PRu2Se
1.0
1.499 3.765 0.006
-1.499 3.765 0.006
0.000 1.208 5.169
P Ru Se
1 2 1
Direct
0.500 0.500 0.000
0.243 0.243 0.777
0.757 0.757 0.223
0.000 0.000 0.500
```

***

Entry 9:
Here is PRuSe3 after structural relaxation from Alexandria via LeMat-Bulk. Energies are from PBE.

Values from the calculation:
Space-group type: Pm-3m
Formation energy (no corrections): 1.01 eV per atom
Electronic total energy: -20.1 eV/cell

Cell and atoms, written as POSCAR:
```
PRuSe3
1.0
4.775 0.000 0.000
0.000 4.775 0.000
0.000 0.000 4.775
Ru Se P
1 3 1
Direct
0.500 0.500 0.500
0.000 0.500 0.000
0.000 0.000 0.500
0.500 0.000 0.000
0.000 0.000 0.000
```

***

Entry 10:
Here is PRu2Se after structural relaxation from Alexandria via LeMat-Bulk. Energies are from PBE.

Values from the calculation:
Space-group type: Imm2
Formation energy (no corrections): 0.11 eV per atom
Electronic total energy: -27.0 eV/cell

Cell and atoms, written as POSCAR:
```
PRu2Se
1.0
3.641 3.986 0.379
-1.297 5.239 -0.400
-0.722 -4.721 2.545
P Ru Se
1 2 1
Direct
0.228 0.728 0.500
0.032 0.032 0.000
0.735 0.235 0.500
0.506 0.506 0.000
```

***

Entry 11:
Here is PRu2Se after structural relaxation from Alexandria via LeMat-Bulk. Energies are from PBE.

Values from the calculation:
Space-group type: Fmmm
Formation energy (no corrections): 0.35 eV per atom
Electronic total energy: -26.0 eV/cell

Cell and atoms, written as POSCAR:
```
PRu2Se
1.0
0.000 2.884 3.916
2.828 0.000 3.916
2.828 2.884 0.000
P Ru Se
1 2 1
Direct
0.000 0.000 0.000
0.500 0.000 0.000
0.000 0.500 0.500
0.500 0.500 0.500
```

***

Entry 12:
Here is Th6P2Ru3Se after structural relaxation from Alexandria via LeMat-Bulk. Energies are from PBE.

Values from the calculation:
Space-group type: C2/m
Formation energy (no corrections): -0.94 eV per atom
Electronic total energy: -97.9 eV/cell

Cell and atoms, written as POSCAR:
```
Th6P2Ru3Se
1.0
-0.021 2.031 3.522
-8.507 -0.789 0.406
3.605 -8.365 2.498
Th P Ru Se
6 2 3 1
Direct
0.325 0.925 0.650
0.665 0.589 0.329
0.675 0.075 0.350
0.997 0.269 0.994
0.003 0.731 0.006
0.335 0.411 0.671
0.834 0.671 0.668
0.166 0.329 0.332
0.500 0.500 0.000
0.835 0.170 0.670
0.165 0.830 0.330
0.500 0.000 0.000
```

***

Entry 13:
Here is Th8PRu3Se4 after structural relaxation from Alexandria via LeMat-Bulk. Energies are from PBE.

Values from the calculation:
Space-group type: R-3m
Formation energy (no corrections): -1.16 eV per atom
Electronic total energy: -125.1 eV/cell

Cell and atoms, written as POSCAR:
```
Th8PRu3Se4
1.0
-6.829 -0.375 -4.632
4.854 -0.584 -7.109
1.186 -5.487 6.060
Th P Ru Se
8 1 3 4
Direct
0.245 0.723 0.978
0.245 0.723 0.489
0.262 0.285 0.523
0.734 0.723 0.978
0.266 0.277 0.022
0.738 0.715 0.477
0.755 0.277 0.511
0.755 0.277 0.022
0.000 0.500 0.000
0.500 0.500 0.000
0.500 0.500 0.500
0.000 0.500 0.500
0.500 0.000 0.000
0.500 0.000 0.500
0.000 0.000 0.000
0.000 0.000 0.500
```

***

Entry 14:
Here is Th6PRu2Se3 after structural relaxation from Alexandria via LeMat-Bulk. Energies are from PBE.

Values from the calculation:
Space-group type: C2/m
Formation energy (no corrections): -1.21 eV per atom
Electronic total energy: -93.5 eV/cell

Cell and atoms, written as POSCAR:
```
Th6PRu2Se3
1.0
7.184 0.002 0.003
-3.589 6.223 0.003
-1.196 -2.071 7.125
Th P Ru Se
6 1 2 3
Direct
0.925 0.581 0.777
0.729 0.729 0.221
0.075 0.419 0.223
0.581 0.925 0.777
0.271 0.271 0.779
0.419 0.075 0.223
0.000 0.000 0.000
0.332 0.668 0.000
0.668 0.332 0.000
0.161 0.839 0.500
0.839 0.161 0.500
0.500 0.500 0.500
```

***

Entry 15:
Here is Th6P2RuSe3 after structural relaxation from Alexandria via LeMat-Bulk. Energies are from PBE.

Values from the calculation:
Space-group type: C2/m
Formation energy (no corrections): -1.40 eV per atom
Electronic total energy: -91.9 eV/cell

Cell and atoms, written as POSCAR:
```
Th6P2RuSe3
1.0
4.103 0.000 0.000
0.000 8.557 0.234
-2.052 -2.539 8.857
Th P Ru Se
6 2 1 3
Direct
0.338 0.904 0.676
0.671 0.572 0.343
0.662 0.096 0.324
0.004 0.229 0.008
0.996 0.771 0.992
0.329 0.428 0.657
0.833 0.665 0.666
0.167 0.335 0.334
0.500 0.000 0.000
0.500 0.500 0.000
0.832 0.166 0.665
0.168 0.834 0.335
```

***

Entry 16:
Here is ThPRuSe after structural relaxation from Alexandria via LeMat-Bulk. Energies are from PBE.

Values from the calculation:
Space-group type: P4/nmm
Formation energy (no corrections): -1.10 eV per atom
Electronic total energy: -60.0 eV/cell

Cell and atoms, written as POSCAR:
```
ThPRuSe
1.0
-0.548 -3.137 -2.628
3.898 0.406 -1.298
2.821 -6.017 6.593
Th P Ru Se
2 2 2 2
Direct
0.500 0.000 0.741
0.000 0.500 0.259
0.000 0.500 0.867
0.500 0.000 0.133
0.500 0.500 0.000
0.000 0.000 0.000
0.000 0.000 0.500
0.500 0.500 0.500
```

***

Entry 17:
Here is PRuWSe2 after structural relaxation from Alexandria via LeMat-Bulk. Energies are from PBE.

Values from the calculation:
Space-group type: P4/mmm
Formation energy (no corrections): 1.23 eV per atom
Electronic total energy: -28.4 eV/cell

Cell and atoms, written as POSCAR:
```
PRuWSe2
1.0
-4.654 -1.098 0.442
0.694 -1.047 4.711
-0.966 4.559 1.155
Ru Se W P
1 2 1 1
Direct
0.000 0.500 0.000
0.000 0.000 0.500
0.500 0.000 0.000
0.000 0.000 0.000
0.500 0.500 0.500
```

***

Entry 18:
Here is SiP4Ru after structural relaxation from Alexandria via LeMat-Bulk. Energies are from PBE.

Values from the calculation:
Space-group type: F-43m
Formation energy (no corrections): 0.86 eV per atom
Electronic total energy: -31.2 eV/cell

Cell and atoms, written as POSCAR:
```
SiP4Ru
1.0
-1.216 3.142 3.680
-2.592 4.141 -1.011
-4.749 0.393 1.476
Si P Ru
1 4 1
Direct
0.000 0.000 0.000
0.888 0.371 0.371
0.371 0.371 0.888
0.371 0.888 0.371
0.371 0.371 0.371
0.750 0.750 0.750
```

***

Entry 19:
Here is SiPRu3 after structural relaxation from Alexandria via LeMat-Bulk. Energies are from PBE.

Values from the calculation:
Space-group type: Pm-3m
Offset from the most stable computed form: 0.00 eV per formula unit
Formation energy (no corrections): 0.50 eV per atom
Electronic total energy: -36.1 eV/cell

Cell and atoms, written as POSCAR:
```
SiPRu3
1.0
4.310 0.000 0.000
0.000 4.310 0.000
0.000 0.000 4.310
Ru Si P
3 1 1
Direct
0.000 0.500 0.000
0.000 0.000 0.500
0.500 0.000 0.000
0.500 0.500 0.500
0.000 0.000 0.000
```

***

Entry 20:
Here is Si3PRu after structural relaxation from Alexandria via LeMat-Bulk. Energies are from PBE.

Values from the calculation:
Space-group type: Pm-3m
Offset from the most stable computed form: 0.00 eV per formula unit
Formation energy (no corrections): 0.54 eV per atom
Electronic total energy: -28.3 eV/cell

Cell and atoms, written as POSCAR:
```
Si3PRu
1.0
-3.392 1.238 2.816
-3.060 -1.788 -2.900
0.315 -4.030 2.152
Ru Si P
1 3 1
Direct
0.000 0.000 0.000
0.000 0.500 0.000
0.000 0.000 0.500
0.500 0.000 0.000
0.500 0.500 0.500
```

***

Entry 21:
Here is SiP3Ru6 after structural relaxation from Alexandria via LeMat-Bulk. Energies are from PBE.

Values from the calculation:
Space-group type: P2_1/m
Formation energy (no corrections): -0.41 eV per atom
Electronic total energy: -162.9 eV/cell

Cell and atoms, written as POSCAR:
```
SiP3Ru6
1.0
-0.106 2.245 -2.912
-8.781 -0.508 -0.073
1.950 6.996 5.324
Si P Ru
2 6 12
Direct
0.750 0.049 0.705
0.250 0.951 0.295
0.750 0.382 0.833
0.250 0.618 0.167
0.750 0.691 0.538
0.250 0.309 0.462
0.750 0.186 0.036
0.250 0.814 0.964
0.750 0.448 0.597
0.250 0.552 0.403
0.750 0.955 0.107
0.250 0.045 0.893
0.750 0.455 0.102
0.250 0.545 0.898
0.750 0.761 0.307
0.250 0.239 0.693
0.750 0.115 0.432
0.250 0.885 0.568
0.750 0.760 0.801
0.250 0.240 0.199
```

***

Entry 22:
Here is SiP3Ru after structural relaxation from Alexandria via LeMat-Bulk. Energies are from PBE.

Values from the calculation:
Space-group type: Pm-3m
Offset from the most stable computed form: 0.00 eV per formula unit
Formation energy (no corrections): 0.85 eV per atom
Electronic total energy: -26.7 eV/cell

Cell and atoms, written as POSCAR:
```
SiP3Ru
1.0
4.572 0.000 0.000
0.000 4.572 0.000
0.000 0.000 4.572
Ru Si P
1 1 3
Direct
0.000 0.000 0.000
0.500 0.500 0.500
0.000 0.500 0.000
0.000 0.000 0.500
0.500 0.000 0.000
```

***

Entry 23:
Here is Si3PRu after structural relaxation from Alexandria via LeMat-Bulk. Energies are from PBE.

Values from the calculation:
Space-group type: Pm-3m
Offset from the most stable computed form: 2.70 eV per formula unit
Formation energy (no corrections): 1.08 eV per atom
Electronic total energy: -25.6 eV/cell

Cell and atoms, written as POSCAR:
```
Si3PRu
1.0
4.373 0.000 0.000
0.000 4.373 0.000
0.000 0.000 4.373
Ru Si P
1 3 1
Direct
0.500 0.500 0.500
0.000 0.500 0.000
0.000 0.000 0.500
0.500 0.000 0.000
0.000 0.000 0.000
```

***

Entry 24:
Here is Si2PRu3 after structural relaxation from Alexandria via LeMat-Bulk. Energies are from PBE.

Values from the calculation:
Space-group type: P6/mmm
Offset from the most stable computed form: 4.03 eV per formula unit
Formation energy (no corrections): 0.32 eV per atom
Electronic total energy: -42.2 eV/cell

Cell and atoms, written as POSCAR:
```
Si2PRu3
1.0
2.707 -4.688 0.000
2.707 4.688 0.000
0.000 0.000 3.690
Si P Ru
2 1 3
Direct
0.667 0.333 0.000
0.333 0.667 0.000
0.000 0.000 0.000
0.000 0.500 0.500
0.500 0.500 0.500
0.500 0.000 0.500
```

***

Entry 25:
Here is Si2PRu3 after structural relaxation from Alexandria via LeMat-Bulk. Energies are from PBE.

Values from the calculation:
Space-group type: P6_3/mcm
Offset from the most stable computed form: 0.00 eV per formula unit
Formation energy (no corrections): -0.35 eV per atom
Electronic total energy: -92.4 eV/cell

Cell and atoms, written as POSCAR:
```
Si2PRu3
1.0
5.006 0.000 0.000
-2.503 4.336 0.000
0.000 0.000 7.360
Ru Si P
6 4 2
Direct
0.326 0.000 0.250
0.000 0.326 0.250
0.674 0.674 0.250
0.674 0.000 0.750
0.000 0.674 0.750
0.326 0.326 0.750
0.333 0.667 0.000
0.667 0.333 0.500
0.667 0.333 0.000
0.333 0.667 0.500
0.000 0.000 0.000
0.000 0.000 0.500
```

***

Entry 26:
Here is SrSi2PRu after structural relaxation from Alexandria via LeMat-Bulk. Energies are from PBE.

Values from the calculation:
Space-group type: P4/mmm
Formation energy (no corrections): 2.24 eV per atom
Electronic total energy: -16.0 eV/cell

Cell and atoms, written as POSCAR:
```
SrSi2PRu
1.0
-2.600 2.862 3.709
-3.881 -3.458 -0.053
2.438 -2.795 3.867
Ru Si P Sr
1 2 1 1
Direct
0.500 0.500 0.500
0.000 0.000 0.500
0.500 0.000 0.000
0.000 0.500 0.000
0.000 0.000 0.000
```